# 1
This record from Alexandria via LeMat-Bulk describes Fe3BiI12 after structural relaxation. The functional is GGA-PBE.

CIF file:
```
data_Fe3BiI12
_space_group_name_H-M_alt 'P 1'
_space_group_IT_number 1
_space_group_name_Hall 'P 1'
_cell_length_a 8.135
_cell_length_b 15.563
_cell_length_c 15.563
_cell_angle_alpha 120.00
_cell_angle_beta 90.00
_cell_angle_gamma 90.00
loop_
_atom_site_label
_atom_site_type_symbol
_atom_site_fract_x
_atom_site_fract_y
_atom_site_fract_z
Fe1 Fe 0.750 0.131 0.433
Fe2 Fe 0.750 0.302 0.869
Fe3 Fe 0.250 0.869 0.567
Fe4 Fe 0.750 0.567 0.698
Fe5 Fe 0.250 0.433 0.302
Fe6 Fe 0.250 0.698 0.131
I1 I 0.988 0.755 0.520
I2 I 0.512 0.765 0.245
I3 I 0.250 0.959 0.752
I4 I 0.750 0.485 0.979
I5 I 0.750 0.021 0.506
I6 I 0.488 0.245 0.480
I7 I 0.250 0.248 0.207
I8 I 0.488 0.520 0.765
I9 I 0.012 0.235 0.755
I10 I 0.512 0.480 0.235
I11 I 0.012 0.520 0.765
I12 I 0.750 0.752 0.793
I13 I 0.512 0.755 0.520
I14 I 0.750 0.041 0.248
I15 I 0.250 0.506 0.485
I16 I 0.250 0.979 0.494
I17 I 0.250 0.793 0.041
I18 I 0.988 0.765 0.245
I19 I 0.250 0.515 0.021
I20 I 0.012 0.245 0.480
I21 I 0.750 0.494 0.515
I22 I 0.488 0.235 0.755
I23 I 0.988 0.480 0.235
I24 I 0.750 0.207 0.959
Bi1 Bi 0.250 0.333 0.667
Bi2 Bi 0.750 0.667 0.333
```

# 2
This record from Alexandria via LeMat-Bulk describes Nb2GeP after structural relaxation. The functional is GGA-PBE.

CIF file:
```
data_Nb2GeP
_space_group_name_H-M_alt 'P 1'
_space_group_IT_number 1
_space_group_name_Hall 'P 1'
_cell_length_a 4.490
_cell_length_b 4.490
_cell_length_c 4.490
_cell_angle_alpha 60.00
_cell_angle_beta 60.00
_cell_angle_gamma 60.00
loop_
_atom_site_label
_atom_site_type_symbol
_atom_site_fract_x
_atom_site_fract_y
_atom_site_fract_z
P1 P 0.000 0.000 0.000
Nb1 Nb 0.750 0.750 0.750
Nb2 Nb 0.250 0.250 0.250
Ge1 Ge 0.500 0.500 0.500
```

Results
Excess energy over the best structure of this formula in the dataset, meV per atom: 0.0
Energy relative to the elements, eV per atom: -0.34

# 3
This record from Alexandria via LeMat-Bulk describes HgH6S2O2 after structural relaxation. The functional is GGA-PBE.

CIF file:
```
data_HgH6S2O2
_space_group_name_H-M_alt 'P 1'
_space_group_IT_number 1
_space_group_name_Hall 'P 1'
_cell_length_a 5.275
_cell_length_b 8.104
_cell_length_c 7.108
_cell_angle_alpha 144.37
_cell_angle_beta 79.97
_cell_angle_gamma 98.29
loop_
_atom_site_label
_atom_site_type_symbol
_atom_site_fract_x
_atom_site_fract_y
_atom_site_fract_z
Hg1 Hg 0.500 0.000 0.500
O1 O 0.780 0.259 0.041
O2 O 0.220 0.741 0.959
H1 H 0.510 0.486 0.721
H2 H 0.934 0.381 0.128
H3 H 0.066 0.619 0.872
H4 H 0.758 0.220 0.143
H5 H 0.490 0.514 0.279
H6 H 0.242 0.780 0.857
S1 S 0.279 0.684 0.439
S2 S 0.721 0.316 0.561
```

# 4
This record from Alexandria via LeMat-Bulk describes CoRhAu2 after structural relaxation. The functional is GGA-PBE.

CIF file:
```
data_CoRhAu2
_space_group_name_H-M_alt 'P 1'
_space_group_IT_number 1
_space_group_name_Hall 'P 1'
_cell_length_a 3.933
_cell_length_b 3.933
_cell_length_c 4.015
_cell_angle_alpha 90.00
_cell_angle_beta 90.00
_cell_angle_gamma 90.00
loop_
_atom_site_label
_atom_site_type_symbol
_atom_site_fract_x
_atom_site_fract_y
_atom_site_fract_z
Au1 Au 0.000 0.000 0.000
Au2 Au 0.500 0.500 0.000
Rh1 Rh 0.000 0.500 0.500
Co1 Co 0.500 0.000 0.500
```

Results
Excess energy over the best structure of this formula in the dataset, meV per atom: 125.9
Energy relative to the elements, eV per atom: 0.23

# 5
This record from Alexandria via LeMat-Bulk describes Li2TcBr after structural relaxation. The functional is GGA-PBE.

CIF file:
```
data_Li2TcBr
_space_group_name_H-M_alt 'P 1'
_space_group_IT_number 1
_space_group_name_Hall 'P 1'
_cell_length_a 4.551
_cell_length_b 2.911
_cell_length_c 5.193
_cell_angle_alpha 79.78
_cell_angle_beta 90.00
_cell_angle_gamma 90.00
loop_
_atom_site_label
_atom_site_type_symbol
_atom_site_fract_x
_atom_site_fract_y
_atom_site_fract_z
Tc1 Tc 0.000 0.649 0.510
Br1 Br 0.500 0.588 0.715
Li1 Li 0.500 0.247 0.284
Li2 Li 0.000 0.016 0.991
```

Results
Excess energy over the best structure of this formula in the dataset, meV per atom: 150.3

# 6
This record from Alexandria via LeMat-Bulk describes Fe2OsPt after structural relaxation. The functional is GGA-PBE.

CIF file:
```
data_Fe2OsPt
_space_group_name_H-M_alt 'P 1'
_space_group_IT_number 1
_space_group_name_Hall 'P 1'
_cell_length_a 2.672
_cell_length_b 2.672
_cell_length_c 7.424
_cell_angle_alpha 90.00
_cell_angle_beta 90.00
_cell_angle_gamma 90.00
loop_
_atom_site_label
_atom_site_type_symbol
_atom_site_fract_x
_atom_site_fract_y
_atom_site_fract_z
Fe1 Fe 0.000 0.000 0.009
Fe2 Fe 0.000 0.000 0.491
Pt1 Pt 0.500 0.500 0.750
Os1 Os 0.500 0.500 0.250
```

Results
Excess energy over the best structure of this formula in the dataset, meV per atom: 0.0
Energy relative to the elements, eV per atom: 0.00

# 7
This record from Alexandria via LeMat-Bulk describes ScCrRe2Sb after structural relaxation. The functional is GGA-PBE.

CIF file:
```
data_ScCrRe2Sb
_space_group_name_H-M_alt 'P 1'
_space_group_IT_number 1
_space_group_name_Hall 'P 1'
_cell_length_a 4.707
_cell_length_b 4.549
_cell_length_c 4.707
_cell_angle_alpha 90.00
_cell_angle_beta 90.00
_cell_angle_gamma 90.00
loop_
_atom_site_label
_atom_site_type_symbol
_atom_site_fract_x
_atom_site_fract_y
_atom_site_fract_z
Cr1 Cr 0.000 0.500 0.000
Re1 Re 0.500 0.000 0.000
Re2 Re 0.000 0.000 0.500
Sb1 Sb 0.500 0.500 0.500
Sc1 Sc 0.000 0.000 0.000
```

# 8
This record from Alexandria via LeMat-Bulk describes GaSb2AuI after structural relaxation. The functional is GGA-PBE.

CIF file:
```
data_GaSb2AuI
_space_group_name_H-M_alt 'P 1'
_space_group_IT_number 1
_space_group_name_Hall 'P 1'
_cell_length_a 5.377
_cell_length_b 5.377
_cell_length_c 5.412
_cell_angle_alpha 90.00
_cell_angle_beta 90.00
_cell_angle_gamma 90.00
loop_
_atom_site_label
_atom_site_type_symbol
_atom_site_fract_x
_atom_site_fract_y
_atom_site_fract_z
I1 I 0.000 0.000 0.500
Sb1 Sb 0.500 0.000 0.000
Sb2 Sb 0.000 0.500 0.000
Ga1 Ga 0.000 0.000 0.000
Au1 Au 0.500 0.500 0.500
```

Results
Excess energy over the best structure of this formula in the dataset, meV per atom: 201.4

# 9
This record from Alexandria via LeMat-Bulk describes La3Y4Pu after structural relaxation. The functional is GGA-PBE.

CIF file:
```
data_La3Y4Pu
_space_group_name_H-M_alt 'P 1'
_space_group_IT_number 1
_space_group_name_Hall 'P 1'
_cell_length_a 3.499
_cell_length_b 11.869
_cell_length_c 8.985
_cell_angle_alpha 131.34
_cell_angle_beta 101.23
_cell_angle_gamma 90.00
loop_
_atom_site_label
_atom_site_type_symbol
_atom_site_fract_x
_atom_site_fract_y
_atom_site_fract_z
Pu1 Pu 0.500 0.000 0.000
Y1 Y 0.632 0.380 0.264
Y2 Y 0.368 0.620 0.736
Y3 Y 0.368 0.116 0.736
Y4 Y 0.632 0.884 0.264
La1 La 0.769 0.769 0.537
La2 La 0.231 0.231 0.463
La3 La 0.000 0.500 0.000
```

Results
Energy relative to the elements, eV per atom: 0.15

# 10
This record from Alexandria via LeMat-Bulk describes CdFeN3 after structural relaxation. The functional is GGA-PBE.

CIF file:
```
data_CdFeN3
_space_group_name_H-M_alt 'P 1'
_space_group_IT_number 1
_space_group_name_Hall 'P 1'
_cell_length_a 4.046
_cell_length_b 4.046
_cell_length_c 4.046
_cell_angle_alpha 90.00
_cell_angle_beta 90.00
_cell_angle_gamma 90.00
loop_
_atom_site_label
_atom_site_type_symbol
_atom_site_fract_x
_atom_site_fract_y
_atom_site_fract_z
N1 N 0.500 0.000 0.000
N2 N 0.000 0.000 0.500
N3 N 0.000 0.500 0.000
Fe1 Fe 0.500 0.500 0.500
Cd1 Cd 0.000 0.000 0.000
```

# 11
This record from Alexandria via LeMat-Bulk describes YPaTi2 after structural relaxation. The functional is GGA-PBE.

CIF file:
```
data_YPaTi2
_space_group_name_H-M_alt 'P 1'
_space_group_IT_number 1
_space_group_name_Hall 'P 1'
_cell_length_a 3.628
_cell_length_b 3.628
_cell_length_c 6.952
_cell_angle_alpha 90.00
_cell_angle_beta 90.00
_cell_angle_gamma 90.00
loop_
_atom_site_label
_atom_site_type_symbol
_atom_site_fract_x
_atom_site_fract_y
_atom_site_fract_z
Pa1 Pa 0.500 0.500 0.000
Ti1 Ti 0.000 0.000 0.198
Ti2 Ti 0.000 0.000 0.802
Y1 Y 0.500 0.500 0.500
```

Results
Energy relative to the elements, eV per atom: 0.10

# 12
This record from Alexandria via LeMat-Bulk describes PuPb2Br6 after structural relaxation. The functional is GGA-PBE.

CIF file:
```
data_PuPb2Br6
_space_group_name_H-M_alt 'P 1'
_space_group_IT_number 1
_space_group_name_Hall 'P 1'
_cell_length_a 4.468
_cell_length_b 8.045
_cell_length_c 10.323
_cell_angle_alpha 100.29
_cell_angle_beta 90.00
_cell_angle_gamma 106.12
loop_
_atom_site_label
_atom_site_type_symbol
_atom_site_fract_x
_atom_site_fract_y
_atom_site_fract_z
Br1 Br 0.308 0.615 0.870
Br2 Br 0.369 0.738 0.480
Br3 Br 0.692 0.385 0.130
Br4 Br 0.631 0.262 0.520
Br5 Br 0.972 0.944 0.206
Br6 Br 0.028 0.056 0.794
Pu1 Pu 0.000 0.000 0.500
Pb1 Pb 0.332 0.663 0.169
Pb2 Pb 0.668 0.337 0.831
```

The records above give, respectively, electronic total energy values of -3.157; -7.883; -4.105; -5.027; -3.737; -8.552; -6.989; -2.528; -6.719; -3.862; -7.836; -4.610 eV per atom.
The records above give, respectively, total moment values of 30.01; 0.00; 0.00; 2.99; 0.00; 3.89; 3.34; 0.00; 6.79; 0.40; 0.00; 5.87 μB per cell.
The records above give, respectively, mass density values of 3.7; 7.5; 2.9; 14.9; 4.7; 15.6; 9.7; 6.8; 6.2; 5.3; 7.5; 5.4 Mg/m³.